VASP calculation (GGA-PBE) on crystalline ZnGeB3 at its relaxed geometry.

POSCAR file:
```
ZnGeB3
1.0
4.164 0.000 0.000
0.000 4.164 0.000
0.000 0.000 4.164
Zn Ge B
1 1 3
Cartesian
0.000 0.000 0.000
2.082 2.082 2.082
0.000 2.082 2.082
2.082 0.000 2.082
2.082 2.082 0.000
```

volume = 14.44 Å³/atom
density of states at the Fermi level = 0.483 states/eV per atom
total magnetic moment = 0.00 μB per atom
symmetry = Pm-3m, No. 221
energy above the lowest structure with this stoichiometry = 0.0000 eV/atom

VASP calculation (GGA-PBE) on crystalline RbIrSeBr2 at its relaxed geometry.

POSCAR file:
```
RbIrSeBr2
1.0
5.518 0.000 0.000
0.000 5.518 0.000
0.000 0.000 4.688
Rb Ir Se Br
1 1 1 2
Cartesian
0.000 0.000 0.000
2.759 2.759 2.344
2.759 2.759 0.000
0.000 2.759 2.344
2.759 0.000 2.344
```

volume = 28.54 Å³/atom
uncorrected formation energy = -2.310 eV/f.u.
density of states at the Fermi level = 0.437 states/eV per atom
total magnetic moment = 0.00 μB per atom
symmetry = P4/mmm, No. 123
energy above the lowest structure with this stoichiometry = 0.0000 eV/atom

Respective uncorrected energy values: -16.5 -19.0 eV per formula unit.